Entry 1:
# LiCuSnTe2S, optimized geometry, DFT PBE
data_LiCuSnTe2S
_chemical_formula_sum 'Li4 Cu4 Sn4 Te8 S4'
_cell_length_a 3.995
_cell_length_b 12.927
_cell_length_c 10.994
_cell_angle_alpha 90.00
_cell_angle_beta 90.00
_cell_angle_gamma 90.00
_symmetry_space_group_name_H-M 'C m c m'
_symmetry_Int_Tables_number 63
_symmetry_space_group_name_Hall '-C 2c 2'
loop_
_atom_site_label
_atom_site_type_symbol
_atom_site_fract_x
_atom_site_fract_y
_atom_site_fract_z
Li1 Li 0.000 0.202 0.250
Cu1 Cu 0.000 0.016 0.750
Sn1 Sn 0.000 0.500 0.000
Te1 Te 0.000 0.162 0.576
S1 S 0.000 0.426 0.750
# Calculated total energy (eV/cell): -87.9

Entry 2:
# Li3Ta2Cu3S8, optimized geometry, DFT PBE
data_Li3Ta2Cu3S8
_chemical_formula_sum 'Li6 Ta4 Cu6 S16'
_cell_length_a 21.769
_cell_length_b 5.618
_cell_length_c 5.857
_cell_angle_alpha 90.00
_cell_angle_beta 102.16
_cell_angle_gamma 90.00
_symmetry_space_group_name_H-M 'C 1 2 1'
_symmetry_Int_Tables_number 5
loop_
_symmetry_equiv_pos_as_xyz
'x,y,z'
'-x,y,-z'
'x+1/2,y+1/2,z'
'-x+1/2,y+1/2,-z'
loop_
_atom_site_label
_atom_site_type_symbol
_atom_site_fract_x
_atom_site_fract_y
_atom_site_fract_z
Li1 Li 0.000 0.000 0.000
Li2 Li 0.237 0.087 0.220
Ta1 Ta 0.130 0.060 0.647
Cu1 Cu 0.000 0.059 0.500
Cu2 Cu 0.121 0.560 0.640
S1 S 0.059 0.291 0.797
S2 S 0.072 0.825 0.355
S3 S 0.181 0.804 0.931
S4 S 0.193 0.319 0.501
# Calculated total energy (eV/cell): -175.4

Entry 3:
# LiCuTcTeS2, optimized geometry, DFT PBE
data_LiCuTcTeS2
_chemical_formula_sum 'Li4 Cu4 Tc4 Te4 S8'
_cell_length_a 3.334
_cell_length_b 13.298
_cell_length_c 9.602
_cell_angle_alpha 90.00
_cell_angle_beta 90.00
_cell_angle_gamma 90.00
_symmetry_space_group_name_H-M 'C m c m'
_symmetry_Int_Tables_number 63
_symmetry_space_group_name_Hall '-C 2c 2'
loop_
_atom_site_label
_atom_site_type_symbol
_atom_site_fract_x
_atom_site_fract_y
_atom_site_fract_z
Li1 Li 0.000 0.200 0.250
Cu1 Cu 0.000 0.460 0.750
Tc1 Tc 0.000 0.000 0.000
Te1 Te 0.000 0.112 0.750
S1 S 0.000 0.371 0.556
# Calculated total energy (eV/cell): -118.5

Q: Among the records above, which one has the highest calculated total energy?
A: LiCuSnTe2S